No. 1
# PBE-GGA Li5Sm, relaxed
data_Li5Sm
_chemical_formula_sum 'Li10 Sm2'
_cell_length_a 5.3152
_cell_length_b 15.4696
_cell_length_c 3.3359
_cell_angle_alpha 90.00
_cell_angle_beta 90.00
_cell_angle_gamma 90.00
_space_group_name_H-M_alt 'C m m m'
_space_group_IT_number 65
_space_group_name_Hall '-C 2 2'
loop_
_atom_site_label
_atom_site_type_symbol
_atom_site_fract_x
_atom_site_fract_y
_atom_site_fract_z
_atom_site_occupancy
Li1 Li 0.0000 0.0000 0.0000 1
Li2 Li 0.0000 0.1532 0.5000 1
Li3 Li 0.0000 0.3127 0.0000 1
Sm1 Sm 0.0000 0.5000 0.5000 1
# Calculated formation energy in meV per atom: 96
# V in A^3/atom: 22.858
# Final energy in Ha/atom: -0.08398
# Total moment in μB/cell: 0.00

=====

No. 2
# PBE-GGA Li2Sm, relaxed
data_Li2Sm
_chemical_formula_sum 'Li2 Sm1'
_cell_length_a 3.3716
_cell_length_b 3.3747
_cell_length_c 7.9457
_cell_angle_alpha 90.17
_cell_angle_beta 90.06
_cell_angle_gamma 119.86
_space_group_name_H-M_alt 'P -1'
_space_group_IT_number 2
_space_group_name_Hall '-P 1'
loop_
_atom_site_label
_atom_site_type_symbol
_atom_site_fract_x
_atom_site_fract_y
_atom_site_fract_z
_atom_site_occupancy
Li1 Li 0.1640 0.3305 0.1513 1
Sm1 Sm 0.5000 0.0000 0.5000 1
# Offset from the most stable computed form in meV/atom: 9
# Calculated formation energy in meV per atom: 115
# V in A^3/atom: 26.133
# Final energy in Ha/atom: -0.10045
# Total moment in μB/cell: 0.00

=====

No. 3
# PBE-GGA LiSm2, relaxed
data_LiSm2
_chemical_formula_sum 'Li2 Sm4'
_cell_length_a 3.7349
_cell_length_b 3.7349
_cell_length_c 12.5704
_cell_angle_alpha 90.00
_cell_angle_beta 90.00
_cell_angle_gamma 90.00
_space_group_name_H-M_alt 'I 4/m m m'
_space_group_IT_number 139
_space_group_name_Hall '-I 4 2'
loop_
_atom_site_label
_atom_site_type_symbol
_atom_site_fract_x
_atom_site_fract_y
_atom_site_fract_z
_atom_site_occupancy
Li1 Li 0.0000 0.0000 0.0000 1
Sm1 Sm 0.0000 0.0000 0.3468 1
# Calculated formation energy in meV per atom: 84
# V in A^3/atom: 29.225
# Final energy in Ha/atom: -0.13596
# Total moment in μB/cell: 0.51

=====

> What is the total moment in the second record?

0.00 μB/cell